[1]
This record from Alexandria via LeMat-Bulk describes a relaxed CePrTe crystal. The functional is PBE-GGA.

Computed properties:
Its polymorph energy (0 for the lowest one) is 17.7 kJ/mol of formula units. The uncorrected formation energy is -0.617 eV/atom. Its energy is -5.24 eV per atom.

Cell: 4.181 4.821 5.094 Å, 90.00 90.00 90.00°
Atoms (fractional coordinates):
Ce 0.000 0.000 0.000
Pr 0.000 0.500 0.500
Te 0.500 0.500 0.000

[2]
This record from Alexandria via LeMat-Bulk describes a relaxed Ce3Pr2Te8 crystal. The functional is PBE-GGA.

Computed properties:
The uncorrected formation energy is -1.256 eV/atom. Its energy is -5.29 eV per atom.

Cell: 9.426 9.426 5.455 Å, 90.00 90.00 110.00°
Atoms (fractional coordinates):
Ce 0.000 0.000 0.000
Ce 0.269 0.269 0.500
Ce 0.731 0.731 0.500
Pr 0.266 0.734 0.000
Pr 0.734 0.266 0.000
Te 0.115 0.361 0.000
Te 0.115 0.885 0.500
Te 0.361 0.115 0.000
Te 0.373 0.627 0.500
Te 0.627 0.373 0.500
Te 0.639 0.885 0.000
Te 0.885 0.115 0.500
Te 0.885 0.639 0.000

[3]
This record from Alexandria via LeMat-Bulk describes a relaxed Ce2PrTe4 crystal. The functional is PBE-GGA.

Computed properties:
Its polymorph energy (0 for the lowest one) is 0.0 kJ/mol of formula units. The uncorrected formation energy is -1.414 eV/atom. Its energy is -5.59 eV per atom.

Cell: 8.281 8.281 8.281 Å, 109.50 109.50 109.42°
Atoms (fractional coordinates):
Ce 0.003 0.625 0.878
Ce 0.375 0.253 0.378
Ce 0.747 0.125 0.122
Ce 0.875 0.997 0.622
Pr 0.250 0.750 0.500
Pr 0.500 0.500 0.000
Te 0.124 0.375 0.597
Te 0.125 0.374 0.097
Te 0.277 0.028 0.903
Te 0.473 0.876 0.251
Te 0.625 0.222 0.749
Te 0.626 0.723 0.751
Te 0.778 0.527 0.403
Te 0.972 0.875 0.249

[4]
This record from Alexandria via LeMat-Bulk describes a relaxed CePr2Te4 crystal. The functional is PBE-GGA.

Computed properties:
Its polymorph energy (0 for the lowest one) is 0.0 kJ/mol of formula units. The uncorrected formation energy is -1.398 eV/atom. Its energy is -5.41 eV per atom.

Cell: 7.762 7.762 15.364 Å, 90.00 90.00 146.95°
Atoms (fractional coordinates):
Ce 0.122 0.878 0.750
Ce 0.878 0.122 0.250
Pr 0.368 0.632 0.568
Pr 0.368 0.632 0.932
Pr 0.632 0.368 0.068
Pr 0.632 0.368 0.432
Te 0.000 0.000 0.000
Te 0.000 0.000 0.500
Te 0.278 0.722 0.125
Te 0.278 0.722 0.375
Te 0.466 0.534 0.750
Te 0.534 0.466 0.250
Te 0.722 0.278 0.625
Te 0.722 0.278 0.875

[5]
This record from Alexandria via LeMat-Bulk describes a relaxed Ce2PrTe3 crystal. The functional is PBE-GGA.

Computed properties:
The uncorrected formation energy is -1.395 eV/atom. Its energy is -5.74 eV per atom.

Cell: 6.372 13.487 9.024 Å, 90.00 90.04 90.00°
Atoms (fractional coordinates):
Ce 0.249 0.084 0.125
Ce 0.249 0.416 0.625
Ce 0.251 0.747 0.125
Ce 0.251 0.753 0.625
Ce 0.749 0.247 0.375
Ce 0.749 0.253 0.875
Ce 0.751 0.584 0.375
Ce 0.751 0.916 0.875
Pr 0.249 0.081 0.624
Pr 0.249 0.419 0.124
Pr 0.751 0.581 0.876
Pr 0.751 0.919 0.376
Te 0.249 0.250 0.375
Te 0.249 0.250 0.875
Te 0.251 0.584 0.378
Te 0.251 0.585 0.871
Te 0.251 0.915 0.371
Te 0.251 0.916 0.878
Te 0.749 0.084 0.122
Te 0.749 0.085 0.629
Te 0.749 0.415 0.129
Te 0.749 0.416 0.622
Te 0.751 0.750 0.125
Te 0.751 0.750 0.625

[6]
This record from Alexandria via LeMat-Bulk describes a relaxed Ce2Pr2Te5 crystal. The functional is PBE-GGA.

Computed properties:
The uncorrected formation energy is -1.369 eV/atom. Its energy is -5.50 eV per atom.

Cell: 9.095 9.095 8.487 Å, 90.00 90.00 55.54°
Atoms (fractional coordinates):
Ce 0.195 0.195 0.000
Ce 0.305 0.305 0.500
Ce 0.695 0.695 0.500
Ce 0.805 0.805 0.000
Pr 0.148 0.852 0.651
Pr 0.352 0.648 0.151
Pr 0.648 0.352 0.849
Pr 0.852 0.148 0.349
Te 0.000 0.000 0.000
Te 0.018 0.702 0.346
Te 0.202 0.518 0.846
Te 0.298 0.982 0.346
Te 0.482 0.798 0.846
Te 0.500 0.500 0.500
Te 0.518 0.202 0.154
Te 0.702 0.018 0.654
Te 0.798 0.482 0.154
Te 0.982 0.298 0.654

[7]
This record from Alexandria via LeMat-Bulk describes a relaxed Ce2PrTe crystal. The functional is PBE-GGA.

Computed properties:
The uncorrected formation energy is -0.556 eV/atom. Its energy is -5.50 eV per atom.

Cell: 4.210 4.210 6.895 Å, 90.00 90.00 90.00°
Atoms (fractional coordinates):
Ce 0.000 0.000 0.191
Ce 0.000 0.000 0.809
Pr 0.500 0.500 0.500
Te 0.500 0.500 0.000

[8]
This record from Alexandria via LeMat-Bulk describes a relaxed CePr6Te8 crystal. The functional is PBE-GGA.

Computed properties:
The uncorrected formation energy is -1.448 eV/atom. Its energy is -5.43 eV per atom.

Cell: 9.037 9.037 9.037 Å, 60.00 60.00 60.00°
Atoms (fractional coordinates):
Ce 0.000 0.000 0.000
Pr 0.000 0.000 0.500
Pr 0.000 0.500 0.000
Pr 0.000 0.500 0.500
Pr 0.500 0.000 0.000
Pr 0.500 0.000 0.500
Pr 0.500 0.500 0.000
Te 0.250 0.250 0.250
Te 0.254 0.254 0.746
Te 0.254 0.746 0.254
Te 0.254 0.746 0.746
Te 0.746 0.254 0.254
Te 0.746 0.254 0.746
Te 0.746 0.746 0.254
Te 0.750 0.750 0.750

[9]
This record from Alexandria via LeMat-Bulk describes a relaxed CePr2ThTe5 crystal. The functional is PBE-GGA.

Computed properties:
The uncorrected formation energy is -0.627 eV/atom. Its energy is -4.92 eV per atom.

Cell: 5.636 5.636 11.941 Å, 90.00 90.00 90.00°
Atoms (fractional coordinates):
Ce 0.000 0.000 0.000
Pr 0.500 0.500 0.153
Pr 0.500 0.500 0.847
Th 0.000 0.000 0.500
Te 0.000 0.000 0.255
Te 0.000 0.000 0.745
Te 0.000 0.500 0.000
Te 0.500 0.000 0.000
Te 0.500 0.500 0.500

[10]
This record from Alexandria via LeMat-Bulk describes a relaxed Ce3Pr2ThTe6 crystal. The functional is PBE-GGA.

Computed properties:
The uncorrected formation energy is -1.335 eV/atom. Its energy is -5.80 eV per atom.

Cell: 10.077 10.077 9.043 Å, 103.51 103.51 25.66°
Atoms (fractional coordinates):
Ce 0.000 0.000 0.000
Ce 0.333 0.333 0.665
Ce 0.667 0.667 0.335
Pr 0.334 0.334 0.168
Pr 0.666 0.666 0.832
Th 0.000 0.000 0.500
Te 0.166 0.166 0.086
Te 0.167 0.167 0.582
Te 0.499 0.499 0.750
Te 0.501 0.501 0.250
Te 0.833 0.833 0.418
Te 0.834 0.834 0.914

[11]
This record from Alexandria via LeMat-Bulk describes a relaxed CePrTlTe crystal. The functional is PBE-GGA.

Computed properties:
The uncorrected formation energy is -0.793 eV/atom. Its energy is -4.85 eV per atom.

Cell: 4.539 4.539 6.401 Å, 90.00 90.00 90.00°
Atoms (fractional coordinates):
Ce 0.000 0.000 0.000
Pr 0.500 0.500 0.500
Tl 0.500 0.500 0.000
Te 0.000 0.000 0.500

[12]
This record from Alexandria via LeMat-Bulk describes a relaxed CePr2Tl3Te6 crystal. The functional is PBE-GGA.

Computed properties:
The uncorrected formation energy is -1.052 eV/atom. Its energy is -4.51 eV per atom.

Cell: 7.968 7.968 8.596 Å, 98.89 98.89 120.00°
Atoms (fractional coordinates):
Ce 0.000 0.000 0.000
Pr 0.334 0.666 0.000
Pr 0.666 0.334 0.000
Tl 0.168 0.832 0.500
Tl 0.500 0.500 0.500
Tl 0.832 0.168 0.500
Te 0.074 0.406 0.221
Te 0.258 0.258 0.778
Te 0.406 0.074 0.221
Te 0.594 0.926 0.779
Te 0.742 0.742 0.222
Te 0.926 0.594 0.779

[13]
This record from Alexandria via LeMat-Bulk describes a relaxed Ce3PrTm2Te6 crystal. The functional is PBE-GGA.

Computed properties:
The uncorrected formation energy is -1.324 eV/atom. Its energy is -5.52 eV per atom.

Cell: 7.639 7.639 7.754 Å, 99.45 99.45 119.99°
Atoms (fractional coordinates):
Ce 0.000 0.000 0.000
Ce 0.342 0.658 0.000
Ce 0.658 0.342 0.000
Pr 0.500 0.500 0.500
Tm 0.169 0.831 0.500
Tm 0.831 0.169 0.500
Te 0.073 0.418 0.257
Te 0.231 0.231 0.734
Te 0.418 0.073 0.257
Te 0.582 0.927 0.743
Te 0.769 0.769 0.266
Te 0.927 0.582 0.743

[14]
This record from Alexandria via LeMat-Bulk describes a relaxed Ce2Pr3TmTe6 crystal. The functional is PBE-GGA.

Computed properties:
The uncorrected formation energy is -1.377 eV/atom. Its energy is -5.50 eV per atom.

Cell: 10.043 10.043 9.056 Å, 103.73 103.73 25.52°
Atoms (fractional coordinates):
Ce 0.168 0.168 0.337
Ce 0.832 0.832 0.663
Pr 0.170 0.170 0.835
Pr 0.500 0.500 0.500
Pr 0.830 0.830 0.165
Tm 0.500 0.500 0.000
Te 0.000 0.000 0.236
Te 0.000 0.000 0.764
Te 0.333 0.333 0.417
Te 0.339 0.339 0.917
Te 0.661 0.661 0.083
Te 0.667 0.667 0.583

[15]
This record from Alexandria via LeMat-Bulk describes a relaxed Ce3Pr2TmTe6 crystal. The functional is PBE-GGA.

Computed properties:
The uncorrected formation energy is -1.366 eV/atom. Its energy is -5.59 eV per atom.

Cell: 10.020 10.020 9.028 Å, 103.33 103.33 25.59°
Atoms (fractional coordinates):
Ce 0.000 0.000 0.000
Ce 0.329 0.329 0.665
Ce 0.671 0.671 0.335
Pr 0.332 0.332 0.164
Pr 0.668 0.668 0.836
Tm 0.000 0.000 0.500
Te 0.161 0.161 0.579
Te 0.165 0.165 0.086
Te 0.498 0.498 0.737
Te 0.502 0.502 0.263
Te 0.835 0.835 0.914
Te 0.839 0.839 0.421

[16]
This record from Alexandria via LeMat-Bulk describes a relaxed CePr2Tm3Te6 crystal. The functional is PBE-GGA.

Computed properties:
The uncorrected formation energy is -1.306 eV/atom. Its energy is -5.29 eV per atom.

Cell: 9.969 9.969 9.002 Å, 105.72 105.72 25.08°
Atoms (fractional coordinates):
Ce 0.000 0.000 0.000
Pr 0.333 0.333 0.666
Pr 0.667 0.667 0.334
Tm 0.000 0.000 0.500
Tm 0.331 0.331 0.164
Tm 0.669 0.669 0.836
Te 0.162 0.162 0.595
Te 0.170 0.170 0.073
Te 0.495 0.495 0.259
Te 0.505 0.505 0.741
Te 0.830 0.830 0.927
Te 0.838 0.838 0.405

[17]
This record from Alexandria via LeMat-Bulk describes a relaxed Ce3Pr4TmTe8 crystal. The functional is PBE-GGA.

Computed properties:
The uncorrected formation energy is -1.383 eV/atom. Its energy is -5.54 eV per atom.

Cell: 8.996 8.996 8.996 Å, 59.72 59.72 59.72°
Atoms (fractional coordinates):
Ce 0.000 0.500 0.500
Ce 0.500 0.000 0.500
Ce 0.500 0.500 0.000
Pr 0.000 0.000 0.500
Pr 0.000 0.500 0.000
Pr 0.500 0.000 0.000
Pr 0.500 0.500 0.500
Tm 0.000 0.000 0.000
Te 0.243 0.243 0.754
Te 0.243 0.754 0.243
Te 0.246 0.757 0.757
Te 0.251 0.251 0.251
Te 0.749 0.749 0.749
Te 0.754 0.243 0.243
Te 0.757 0.246 0.757
Te 0.757 0.757 0.246

[18]
This record from Alexandria via LeMat-Bulk describes a relaxed CePr3Tm2Te6 crystal. The functional is PBE-GGA.

Computed properties:
The uncorrected formation energy is -1.347 eV/atom. Its energy is -5.35 eV per atom.

Cell: 9.989 9.989 9.026 Å, 103.94 103.94 25.38°
Atoms (fractional coordinates):
Ce 0.000 0.000 0.000
Pr 0.000 0.000 0.500
Pr 0.339 0.339 0.168
Pr 0.661 0.661 0.832
Tm 0.335 0.335 0.670
Tm 0.665 0.665 0.330
Te 0.169 0.169 0.097
Te 0.172 0.172 0.572
Te 0.493 0.493 0.749
Te 0.507 0.507 0.251
Te 0.828 0.828 0.428
Te 0.831 0.831 0.903

[19]
This record from Alexandria via LeMat-Bulk describes a relaxed Ce2PrTmTe5 crystal. The functional is PBE-GGA.

Computed properties:
The uncorrected formation energy is -0.877 eV/atom. Its energy is -4.97 eV per atom.

Cell: 5.457 5.457 11.806 Å, 90.00 90.00 90.00°
Atoms (fractional coordinates):
Ce 0.000 0.000 0.178
Ce 0.000 0.000 0.822
Pr 0.500 0.500 0.500
Tm 0.500 0.500 0.000
Te 0.000 0.000 0.500
Te 0.000 0.500 0.000
Te 0.500 0.000 0.000
Te 0.500 0.500 0.249
Te 0.500 0.500 0.751

[20]
This record from Alexandria via LeMat-Bulk describes a relaxed CePr3Y2Te6 crystal. The functional is PBE-GGA.

Computed properties:
The uncorrected formation energy is -1.390 eV/atom. Its energy is -5.73 eV per atom.

Cell: 10.001 10.001 9.025 Å, 103.25 103.25 25.61°
Atoms (fractional coordinates):
Ce 0.000 0.000 0.000
Pr 0.000 0.000 0.500
Pr 0.337 0.337 0.167
Pr 0.663 0.663 0.833
Y 0.334 0.334 0.669
Y 0.666 0.666 0.331
Te 0.168 0.168 0.093
Te 0.171 0.171 0.575
Te 0.496 0.496 0.750
Te 0.504 0.504 0.250
Te 0.829 0.829 0.425
Te 0.832 0.832 0.907